# TaReSi

A geometry-optimized TaReSi structure (PBE, the Alexandria database).

Cell: 5.108 5.108 5.108 Å, 144.18 144.18 51.55°
Element x y z (fractional)
1 Ta 0.000 0.000 0.000
2 Re 0.678 0.678 0.000
3 Si 0.317 0.317 0.000

Results
formation energy from raw total energies: -61 kJ/mol of formula units
space-group type: I4mm (107)
Fermi-level density of states: 0.619 states/eV per atom